# 1
# Pr4GaGeBr2 | the Alexandria database | PBE | optimized geometry
data_Pr4GaGeBr2
_space_group_name_H-M_alt 'P 1 2/m 1'
_space_group_IT_number 10
_cell_length_a 7.591
_cell_length_b 4.349
_cell_length_c 7.679
_cell_angle_alpha 90.00
_cell_angle_beta 109.14
_cell_angle_gamma 90.00
loop_
_space_group_symop_operation_xyz
'x,y,z'
'-x,-y,-z'
'-x,y,-z'
'x,-y,z'
loop_
_atom_site_label
_atom_site_type_symbol
_atom_site_fract_x
_atom_site_fract_y
_atom_site_fract_z
Pr1 Pr 0.240 0.000 0.218
Pr2 Pr 0.259 0.500 0.778
Ga1 Ga 0.500 0.000 0.000
Ge1 Ge 0.000 0.500 0.000
Br1 Br 0.000 0.000 0.500
Br2 Br 0.500 0.500 0.500
# - E_form (uncorrected): -8.3 eV per formula unit
# - Spin magnetization: 0.000 μB/atom
# - Fermi-level density of states: 0.42 states/eV per atom



# 2
# GaGe2RhBr | the Alexandria database | PBE | optimized geometry
data_GaGe2RhBr
_space_group_name_H-M_alt 'P 4/m m m'
_space_group_IT_number 123
_space_group_name_Hall '-P 4 2'
_cell_length_a 4.833
_cell_length_b 4.833
_cell_length_c 5.086
_cell_angle_alpha 90.00
_cell_angle_beta 90.00
_cell_angle_gamma 90.00
loop_
_atom_site_label
_atom_site_type_symbol
_atom_site_fract_x
_atom_site_fract_y
_atom_site_fract_z
Ga1 Ga 0.000 0.000 0.000
Ge1 Ge 0.000 0.500 0.000
Rh1 Rh 0.500 0.500 0.500
Br1 Br 0.000 0.000 0.500
# - E_form (uncorrected): 4.6 eV per formula unit
# - Spin magnetization: 0.066 μB/atom
# - Fermi-level density of states: 0.72 states/eV per atom



# 3
# GaGe2RhBr | the Alexandria database | PBE | optimized geometry
data_GaGe2RhBr
_space_group_name_H-M_alt 'P 4/m m m'
_space_group_IT_number 123
_space_group_name_Hall '-P 4 2'
_cell_length_a 4.990
_cell_length_b 4.990
_cell_length_c 4.755
_cell_angle_alpha 90.00
_cell_angle_beta 90.00
_cell_angle_gamma 90.00
loop_
_atom_site_label
_atom_site_type_symbol
_atom_site_fract_x
_atom_site_fract_y
_atom_site_fract_z
Ga1 Ga 0.000 0.000 0.000
Ge1 Ge 0.000 0.500 0.000
Rh1 Rh 0.000 0.000 0.500
Br1 Br 0.500 0.500 0.500
# - E_form (uncorrected): 3.4 eV per formula unit
# - Spin magnetization: 0.121 μB/atom
# - Fermi-level density of states: 1.29 states/eV per atom